VASP calculation (PBE) on a geometry-optimized Na2Ge2Sb structure.

The spin magnetization comes out at 0.00 μB/f.u. The uncorrected formation energy is -8 kJ per mole of atoms. The calculation puts the total energy at -0.24087 Ry/atom. Its space group is P4/mbm, No. 127.

```
Na2Ge2Sb
1.0
-0.922 7.166 -0.932
-7.204 -0.839 0.680
0.371 0.666 4.754
Sb Ge Na
2 4 4
Cartesian
0.000 0.000 0.000
-4.063 3.164 -0.126
-6.698 1.991 0.244
-5.272 5.794 -0.400
-1.428 4.336 -0.496
-2.855 0.533 0.148
-4.869 1.044 2.672
-6.357 4.507 2.303
-2.887 5.949 1.830
-1.398 2.486 2.199
```